Entry 1:
Here is a PBEsol-optimized structure of Lu2Te4O11 from the Alexandria database. Energies are from meta-GGA SCAN.

abc: 5.019 6.561 15.413
angles: 80.98 80.63 67.51
Positions (direct):
Lu 0.131 0.203 0.036
Lu 0.371 0.297 0.464
Lu 0.869 0.797 0.964
Lu 0.629 0.703 0.536
Te 0.163 0.872 0.372
Te 0.407 0.628 0.128
Te 0.837 0.128 0.628
Te 0.593 0.372 0.872
Te 0.594 0.052 0.200
Te 0.847 0.448 0.300
Te 0.406 0.948 0.800
Te 0.153 0.552 0.700
O 0.808 0.134 0.371
O 0.312 0.366 0.129
O 0.192 0.866 0.629
O 0.688 0.634 0.871
O 0.341 0.968 0.448
O 0.758 0.532 0.052
O 0.659 0.032 0.552
O 0.242 0.468 0.948
O 0.035 0.677 0.456
O 0.168 0.823 0.044
O 0.965 0.323 0.544
O 0.832 0.177 0.956
O 0.596 0.547 0.406
O 0.550 0.953 0.094
O 0.404 0.453 0.594
O 0.450 0.047 0.906
O 0.219 0.363 0.332
O 0.914 0.137 0.168
O 0.781 0.637 0.668
O 0.086 0.863 0.832
O 0.865 0.750 0.250
O 0.135 0.250 0.750

Results
magnetic moment = 0.000 Bohr magnetons per cell
D(E_F) = 0.000 states/eV per cell
VASP energy = -21.350 eV/atom
calculated density = 7.5 Mg/m³
E_form (uncorrected) = -2.042 eV/atom

Entry 2:
Here is a PBEsol-optimized structure of HfTlSe2N from the Alexandria database. Energies are from meta-GGA SCAN.

abc: 4.110 5.265 5.265
angles: 90.00 90.00 90.00
Site moments in Bohr magnetons follow the coordinates.
Positions (direct):
Tl 0.500 0.500 0.500  0.04
Hf 0.000 0.000 0.000  -0.11
Se 0.000 0.000 0.500  0.29
Se 0.000 0.500 0.000  0.29
N 0.500 0.000 0.000  0.82

Results
magnetic moment = 1.957 Bohr magnetons per cell
D(E_F) = 2.209 states/eV per cell
VASP energy = -37.352 eV/atom
calculated density = 8.1 Mg/m³
E_form (uncorrected) = -0.456 eV/atom

Entry 3:
Here is a PBEsol-optimized structure of KBaSr from the Alexandria database. Energies are from meta-GGA SCAN.

abc: 4.324 4.324 11.021
angles: 90.00 90.00 120.00
Positions (direct):
Sr 0.667 0.333 0.324
K 0.333 0.667 0.664
Ba 0.000 0.000 0.011

Results
magnetic moment = 0.220 Bohr magnetons per cell
D(E_F) = 3.410 states/eV per cell
VASP energy = -23.314 eV/atom
calculated density = 2.5 Mg/m³
formation enthalpy at 0 K = 0.071 eV/atom

Entry 4:
Here is a PBEsol-optimized structure of Zn4Pt from the Alexandria database. Energies are from meta-GGA SCAN.

abc: 3.762 4.674 4.674
angles: 80.68 66.27 66.27
Positions (direct):
Zn 0.398 0.401 0.803
Zn 0.602 0.599 0.197
Zn 0.799 0.803 0.599
Zn 0.201 0.197 0.401
Pt 0.000 0.000 0.000

Results
magnetic moment = 0.000 Bohr magnetons per cell
D(E_F) = 1.074 states/eV per cell
VASP energy = -25.206 eV/atom
calculated density = 11.0 Mg/m³
formation enthalpy at 0 K = -0.355 eV/atom

Entry 5:
Here is a PBEsol-optimized structure of SrBiC3 from the Alexandria database. Energies are from meta-GGA SCAN.

abc: 4.515 4.515 4.515
angles: 90.00 90.00 90.00
Site moments in Bohr magnetons follow the coordinates.
Positions (direct):
Sr 0.500 0.500 0.500  0.03
C 0.000 0.500 0.000  0.54
C 0.000 0.000 0.500  0.54
C 0.500 0.000 0.000  0.54
Bi 0.000 0.000 0.000  0.00

Results
magnetic moment = 3.146 Bohr magnetons per cell
D(E_F) = 2.995 states/eV per cell
VASP energy = -23.800 eV/atom
calculated density = 6.0 Mg/m³
formation enthalpy at 0 K = 2.431 eV/atom

Entry 6:
Here is a PBEsol-optimized structure of Li2PtSe from the Alexandria database. Energies are from meta-GGA SCAN.

abc: 2.871 4.356 5.022
angles: 99.35 90.00 109.24
Positions (direct):
Se 0.000 0.000 0.500
Pt 0.500 0.000 0.000
Li 0.748 0.497 0.754
Li 0.252 0.503 0.246

Results
magnetic moment = 0.000 Bohr magnetons per cell
D(E_F) = 0.579 states/eV per cell
VASP energy = -24.324 eV/atom
calculated density = 8.2 Mg/m³
E_form (uncorrected) = -0.561 eV/atom